A geometry-optimized LaMgBi2Pb structure. Source: Alexandria via LeMat-Bulk, functional PBE-GGA.

a b c (Å): 6.111 5.981 6.111
angles (deg): 90.00 90.00 90.00
Element x y z (fractional)
La1 0.000 0.000 0.000
Mg1 0.000 0.500 0.000
Pb1 0.500 0.500 0.500
Bi1 0.000 0.000 0.500
Bi2 0.500 0.000 0.000

Summary:
- calculated density (Mg/m³) = 5.86
- DOS at the Fermi energy (states/eV/f.u.) = 3.93
- calculated formation energy (meV/atom) = 511
- total energy (eV/atom) = -3.09
- space group = No. 123